The following is a DFT calculation (GGA-PBE) of an optimized crystal structure of TlFeRu3.

The calculation puts the density of states at the Fermi level at 13.60 states/eV per cell. The uncorrected energy is -6.485 eV per atom. As for the density: 10.54 g cm⁻³.

The structure in POSCAR format:
```
TlFeRu3
1.0
4.4605 0.0000 0.0000
0.0000 4.4605 0.0000
0.0000 0.0000 4.4605
Tl Fe Ru
1 1 3
Cartesian
0.0000 0.0000 0.0000
2.2302 2.2302 2.2302
0.0000 2.2302 2.2302
2.2302 0.0000 2.2302
2.2302 2.2302 0.0000
```


The following is a DFT calculation (GGA-PBE) of an optimized crystal structure of Tl2FeRu.

The value obtained for the relative energy among the computed polymorphs is 28.6 kJ per mole of atoms. The calculation puts the density of states at the Fermi level at 3.28 states/eV per cell. The uncorrected energy is -4.889 eV per atom. As for the density: 12.45 g cm⁻³.

The structure in POSCAR format:
```
Tl2FeRu
1.0
3.4941 0.0000 0.0000
0.0000 4.3615 0.0000
0.0000 0.0000 4.9518
Tl Fe Ru
2 1 1
Cartesian
0.0000 0.0000 0.0000
1.7471 0.0000 2.4759
0.0000 2.1807 2.4759
1.7471 2.1807 0.0000
```


The following is a DFT calculation (GGA-PBE) of an optimized crystal structure of Tl2FeRu.

The value obtained for the relative energy among the computed polymorphs is 31.8 kJ per mole of atoms. The calculation puts the density of states at the Fermi level at 7.79 states/eV per cell. The uncorrected energy is -4.856 eV per atom. As for the density: 12.38 g cm⁻³.

The structure in POSCAR format:
```
Tl2FeRu
1.0
3.2104 0.0000 0.0000
0.0000 5.2504 0.0000
0.0000 0.0000 9.0030
Tl Fe Ru
4 2 2
Cartesian
0.0000 0.0000 2.2462
0.0000 0.0000 6.7567
1.6052 2.6252 2.2462
1.6052 2.6252 6.7567
0.0000 2.6252 0.0000
1.6052 0.0000 0.0000
0.0000 2.6252 4.5015
1.6052 0.0000 4.5015
```


The following is a DFT calculation (GGA-PBE) of an optimized crystal structure of Tl2FeRu.

The value obtained for the relative energy among the computed polymorphs is 0.0 kJ per mole of atoms. The calculation puts the density of states at the Fermi level at 3.77 states/eV per cell. The uncorrected energy is -5.186 eV per atom. As for the density: 11.51 g cm⁻³.

The structure in POSCAR format:
```
Tl2FeRu
1.0
3.1014 0.0000 0.0000
0.0000 3.1014 0.0000
0.0000 0.0000 8.4844
Tl Fe Ru
2 1 1
Cartesian
0.0000 0.0000 0.0000
1.5507 1.5507 3.0663
0.0000 0.0000 5.1693
1.5507 1.5507 6.3740
```


The following is a DFT calculation (GGA-PBE) of an optimized crystal structure of Tl2FeRu.

The value obtained for the relative energy among the computed polymorphs is 12.8 kJ per mole of atoms. The calculation puts the density of states at the Fermi level at 6.15 states/eV per cell. The uncorrected energy is -5.053 eV per atom. As for the density: 12.27 g cm⁻³.

The structure in POSCAR format:
```
Tl2FeRu
1.0
10.7319 0.0000 0.0000
0.0000 3.1586 0.0000
-1.5654 0.0000 4.5171
Tl Fe Ru
4 2 2
Cartesian
0.0000 0.0000 0.0000
1.2937 0.0000 2.9629
5.3660 1.5793 0.0000
6.6597 1.5793 2.9629
4.0625 0.0000 2.0526
9.4284 1.5793 2.0526
2.5204 1.5793 0.8588
7.8864 0.0000 0.8588
```


The following is a DFT calculation (GGA-PBE) of an optimized crystal structure of TlFe3Ru.

The value obtained for the relative energy among the computed polymorphs is 0.0 kJ per mole of atoms. The calculation puts the density of states at the Fermi level at 5.82 states/eV per cell. The uncorrected energy is -6.198 eV per atom. As for the density: 7.82 g cm⁻³.

The structure in POSCAR format:
```
TlFe3Ru
1.0
4.6481 0.0000 0.0000
0.0000 4.6481 0.0000
0.0000 0.0000 4.6481
Tl Fe Ru
1 3 1
Cartesian
0.0000 0.0000 0.0000
0.0000 2.3240 2.3240
2.3240 0.0000 2.3240
2.3240 2.3240 0.0000
2.3240 2.3240 2.3240
```


The following is a DFT calculation (GGA-PBE) of an optimized crystal structure of Tl2FeRu.

The value obtained for the relative energy among the computed polymorphs is 46.6 kJ per mole of atoms. The calculation puts the density of states at the Fermi level at 18.62 states/eV per cell. The uncorrected energy is -4.703 eV per atom. As for the density: 11.66 g cm⁻³.

The structure in POSCAR format:
```
Tl2FeRu
1.0
7.4235 0.0000 0.0000
0.0000 7.4235 0.0000
0.0000 0.0000 5.8493
Tl Fe Ru
8 4 4
Cartesian
1.8145 1.8559 0.7312
1.8559 5.5263 2.1935
1.8559 5.6090 5.1181
1.8972 1.8559 3.6558
5.5263 5.5677 3.6558
5.5677 1.8145 5.1181
5.5677 1.8972 2.1935
5.6090 5.5677 0.7312
0.0000 0.0000 0.0000
0.0000 3.7118 1.4623
3.7118 0.0000 4.3870
3.7118 3.7118 2.9246
0.0000 0.0000 2.9246
0.0000 3.7118 4.3870
3.7118 0.0000 1.4623
3.7118 3.7118 0.0000
```


The following is a DFT calculation (GGA-PBE) of an optimized crystal structure of Tl2FeRu.

The value obtained for the relative energy among the computed polymorphs is 25.9 kJ per mole of atoms. The calculation puts the density of states at the Fermi level at 8.08 states/eV per cell. The uncorrected energy is -4.917 eV per atom. As for the density: 12.51 g cm⁻³.

The structure in POSCAR format:
```
Tl2FeRu
1.0
8.9569 0.0000 0.0000
0.0000 3.2403 0.0000
-1.1453 0.0000 5.1740
Tl Fe Ru
4 2 2
Cartesian
1.9434 0.0000 1.2890
1.3897 1.6202 3.8851
6.4219 1.6202 1.2890
5.8682 0.0000 3.8851
-0.5727 0.0000 2.5870
3.9058 1.6202 2.5870
0.0000 1.6202 0.0000
4.4785 0.0000 0.0000
```


The following is a DFT calculation (GGA-PBE) of an optimized crystal structure of Tl2FeRu.

The value obtained for the relative energy among the computed polymorphs is 12.3 kJ per mole of atoms. The calculation puts the density of states at the Fermi level at 3.84 states/eV per cell. The uncorrected energy is -5.058 eV per atom. As for the density: 12.21 g cm⁻³.

The structure in POSCAR format:
```
Tl2FeRu
1.0
3.4668 0.0000 0.0000
0.0000 4.2273 0.0000
-1.7319 0.0000 5.2479
Tl Fe Ru
2 1 1
Cartesian
0.0000 0.0000 0.0000
0.0073 2.1137 3.3147
1.7416 2.1137 1.0092
1.7395 0.0000 2.3105
```


The following is a DFT calculation (GGA-PBE) of an optimized crystal structure of Tl2FeRu.

The value obtained for the relative energy among the computed polymorphs is 26.6 kJ per mole of atoms. The calculation puts the density of states at the Fermi level at 11.68 states/eV per cell. The uncorrected energy is -4.910 eV per atom. As for the density: 12.54 g cm⁻³.

The structure in POSCAR format:
```
Tl2FeRu
1.0
3.1497 0.0000 0.0000
-1.5748 2.7277 0.0000
0.0000 0.0000 26.1543
Tl Fe Ru
6 3 3
Cartesian
0.0000 0.0000 6.5510
0.0000 0.0000 19.6033
0.0000 1.8185 10.8852
0.0000 1.8185 23.9872
1.5748 0.9092 2.1671
1.5748 0.9092 15.2691
0.0000 0.0000 13.0772
0.0000 1.8185 4.3591
1.5748 0.9092 21.7953
0.0000 0.0000 0.0000
0.0000 1.8185 17.4362
1.5748 0.9092 8.7181
```


The following is a DFT calculation (GGA-PBE) of an optimized crystal structure of Tl2FeRu.

The value obtained for the relative energy among the computed polymorphs is 22.8 kJ per mole of atoms. The calculation puts the density of states at the Fermi level at 4.43 states/eV per cell. The uncorrected energy is -4.950 eV per atom. As for the density: 12.99 g cm⁻³.

The structure in POSCAR format:
```
Tl2FeRu
1.0
3.2809 0.0000 0.0000
0.0000 3.2950 0.0000
0.0000 0.0000 6.6905
Tl Fe Ru
2 1 1
Cartesian
0.0000 0.0000 1.6588
0.0000 0.0000 5.0317
1.6405 1.6475 3.3453
1.6405 1.6475 0.0000
```


The following is a DFT calculation (GGA-PBE) of an optimized crystal structure of Tl2FeRu.

The value obtained for the relative energy among the computed polymorphs is 39.6 kJ per mole of atoms. The calculation puts the density of states at the Fermi level at 15.02 states/eV per cell. The uncorrected energy is -4.775 eV per atom. As for the density: 12.23 g cm⁻³.

The structure in POSCAR format:
```
Tl2FeRu
1.0
6.7469 0.0000 0.0000
0.0000 6.7469 0.0000
0.0000 0.0000 6.7469
Tl Fe Ru
8 4 4
Cartesian
0.0000 0.0000 0.0000
0.0000 3.3734 3.3734
1.6867 1.6867 1.6867
1.6867 5.0601 5.0601
3.3734 0.0000 3.3734
3.3734 3.3734 0.0000
5.0601 1.6867 5.0601
5.0601 5.0601 1.6867
0.0000 0.0000 3.3734
0.0000 3.3734 0.0000
3.3734 0.0000 0.0000
3.3734 3.3734 3.3734
1.6867 1.6867 5.0601
1.6867 5.0601 1.6867
5.0601 1.6867 1.6867
5.0601 5.0601 5.0601
```